(1)
Te2PN2 after structural relaxation. Source: the Alexandria database, functional PBE.

Cell: 3.856 3.856 6.398 Å, 90.00 90.00 90.00°
Site moments in Bohr magnetons follow the coordinates.
Positions (direct):
P1 0.000 0.000 0.000  -0.03
Te1 0.500 0.500 0.500  0.01
Te2 0.000 0.000 0.500  0.01
N1 0.000 0.500 0.000  0.29
N2 0.500 0.000 0.000  0.29

DOS at the Fermi energy   3.1 states/eV/f.u.
Raw formation energy   132.60 kJ per mole of atoms
E   -21.47 eV/cell
SG   P4/mmm, No. 123


(2)
TePN after structural relaxation. Source: the Alexandria database, functional PBE.

Cell: 4.206 5.352 11.156 Å, 47.72 58.97 56.57°
Positions (direct):
N1 0.118 0.578 0.313
N2 0.882 0.422 0.687
P1 0.365 0.191 0.355
P2 0.635 0.809 0.645
Te1 0.098 0.091 0.168
Te2 0.902 0.909 0.832

DOS at the Fermi energy   0.2 states/eV/f.u.
Raw formation energy   46.42 kJ per mole of atoms
E   -30.87 eV/cell
SG   P-1, No. 2


(3)
Th8Te4P3N after structural relaxation. Source: the Alexandria database, functional PBE.

Cell: 8.218 8.821 8.218 Å, 117.77 120.00 90.00°
Positions (direct):
Th1 0.223 0.699 0.976
Th2 0.223 0.699 0.446
Th3 0.263 0.290 0.527
Th4 0.753 0.699 0.976
Th5 0.247 0.301 0.024
Th6 0.737 0.710 0.473
Th7 0.777 0.301 0.554
Th8 0.777 0.301 0.024
Te1 0.500 0.000 0.000
Te2 0.500 0.000 0.500
Te3 0.000 0.000 0.000
Te4 0.000 0.000 0.500
P1 0.500 0.500 0.000
P2 0.500 0.500 0.500
P3 0.000 0.500 0.500
N1 0.000 0.500 0.000

DOS at the Fermi energy   10.2 states/eV/f.u.
Raw formation energy   -125.67 kJ per mole of atoms
E   -117.32 eV/cell
SG   R-3m, No. 166


(4)
TiTe2PN after structural relaxation. Source: the Alexandria database, functional PBE.

Cell: 5.437 5.437 3.725 Å, 90.00 90.00 90.00°
Positions (direct):
P1 0.500 0.500 0.500
N1 0.000 0.000 0.500
Te1 0.000 0.500 0.000
Te2 0.500 0.000 0.000
Ti1 0.000 0.000 0.000

DOS at the Fermi energy   5.0 states/eV/f.u.
Raw formation energy   32.38 kJ per mole of atoms
E   -26.24 eV/cell
SG   P4/mmm, No. 123


(5)
TiTe2PN after structural relaxation. Source: the Alexandria database, functional PBE.

Cell: 5.472 5.472 3.316 Å, 90.00 90.00 90.00°
Site moments in Bohr magnetons follow the coordinates.
Positions (direct):
P1 0.000 0.000 0.000  0.03
N1 0.000 0.000 0.500  -0.01
Te1 0.000 0.500 0.000  -0.04
Te2 0.500 0.000 0.000  -0.04
Ti1 0.500 0.500 0.500  1.53

DOS at the Fermi energy   5.2 states/eV/f.u.
Raw formation energy   41.87 kJ per mole of atoms
E   -25.74 eV/cell
SG   P4/mmm, No. 123


(6)
TlTe2PN after structural relaxation. Source: the Alexandria database, functional PBE.

Cell: 5.843 5.843 4.170 Å, 90.00 90.00 90.00°
Site moments in Bohr magnetons follow the coordinates.
Positions (direct):
P1 0.500 0.500 0.500  -0.08
Tl1 0.000 0.000 0.000  0.01
Te1 0.000 0.500 0.000  0.19
Te2 0.500 0.000 0.000  0.19
N1 0.000 0.000 0.500  0.93

DOS at the Fermi energy   4.5 states/eV/f.u.
Raw formation energy   150.66 kJ per mole of atoms
E   -14.58 eV/cell
SG   P4/mmm, No. 123


(7)
TlTe2PN after structural relaxation. Source: the Alexandria database, functional PBE.

Cell: 6.146 6.146 3.248 Å, 90.00 90.00 90.00°
Positions (direct):
P1 0.000 0.000 0.000
Tl1 0.500 0.500 0.500
Te1 0.000 0.500 0.000
Te2 0.500 0.000 0.000
N1 0.000 0.000 0.500

DOS at the Fermi energy   4.2 states/eV/f.u.
Raw formation energy   34.63 kJ per mole of atoms
E   -20.59 eV/cell
SG   P4/mmm, No. 123


(8)
Tm8Te4P3N after structural relaxation. Source: the Alexandria database, functional PBE.

Cell: 7.952 8.306 7.953 Å, 118.61 120.00 90.00°
Positions (direct):
Tm1 0.222 0.697 0.976
Tm2 0.222 0.697 0.444
Tm3 0.264 0.292 0.528
Tm4 0.754 0.697 0.976
Tm5 0.246 0.303 0.024
Tm6 0.736 0.708 0.472
Tm7 0.778 0.303 0.556
Tm8 0.778 0.303 0.024
Te1 0.500 0.000 0.000
Te2 0.500 0.000 0.500
Te3 0.000 0.000 0.000
Te4 0.000 0.000 0.500
P1 0.500 0.500 0.000
P2 0.500 0.500 0.500
P3 0.000 0.500 0.500
N1 0.000 0.500 0.000

DOS at the Fermi energy   5.4 states/eV/f.u.
Raw formation energy   -138.78 kJ per mole of atoms
E   -95.91 eV/cell
SG   R-3m, No. 166


(9)
VTeP2N after structural relaxation. Source: the Alexandria database, functional PBE.

Cell: 4.125 4.437 4.125 Å, 90.00 90.00 90.00°
Site moments in Bohr magnetons follow the coordinates.
Positions (direct):
P1 0.000 0.000 0.500  0.02
P2 0.500 0.000 0.000  0.01
N1 0.000 0.000 0.000  0.02
Te1 0.000 0.500 0.000  0.02
V1 0.500 0.500 0.500  -0.34

DOS at the Fermi energy   4.7 states/eV/f.u.
Raw formation energy   86.98 kJ per mole of atoms
E   -26.90 eV/cell
SG   P4/mmm, No. 123


(10)
VTe2PN after structural relaxation. Source: the Alexandria database, functional PBE.

Cell: 5.430 5.430 3.312 Å, 90.00 90.00 90.00°
Site moments in Bohr magnetons follow the coordinates.
Positions (direct):
P1 0.000 0.000 0.000  0.02
N1 0.000 0.000 0.500  -0.01
Te1 0.000 0.500 0.000  -0.09
Te2 0.500 0.000 0.000  -0.09
V1 0.500 0.500 0.500  2.77

DOS at the Fermi energy   4.2 states/eV/f.u.
Raw formation energy   57.45 kJ per mole of atoms
E   -26.16 eV/cell
SG   P4/mmm, No. 123


(11)
VTe2PN after structural relaxation. Source: the Alexandria database, functional PBE.

Cell: 5.294 5.294 3.629 Å, 90.00 90.00 90.00°
Site moments in Bohr magnetons follow the coordinates.
Positions (direct):
P1 0.500 0.500 0.500  0.09
N1 0.000 0.000 0.500  -0.09
Te1 0.000 0.500 0.000  -0.05
Te2 0.500 0.000 0.000  -0.05
V1 0.000 0.000 0.000  0.63

DOS at the Fermi energy   3.6 states/eV/f.u.
Raw formation energy   35.96 kJ per mole of atoms
E   -27.27 eV/cell
SG   P4/mmm, No. 123


(12)
Te2PWN after structural relaxation. Source: the Alexandria database, functional PBE.

Cell: 5.330 5.330 3.268 Å, 90.00 90.00 90.00°
Site moments in Bohr magnetons follow the coordinates.
Positions (direct):
P1 0.000 0.000 0.000  0.00
Te1 0.000 0.500 0.000  -0.04
Te2 0.500 0.000 0.000  -0.04
W1 0.500 0.500 0.500  1.28
N1 0.000 0.000 0.500  -0.02

DOS at the Fermi energy   3.8 states/eV/f.u.
Raw formation energy   102.02 kJ per mole of atoms
E   -27.69 eV/cell
SG   P4/mmm, No. 123